Computed, not measured: a geometry-optimized Dy2BePd structure at the PBE-GGA level of DFT.

Properties
E = -4.9333 eV per atom
space-group type = P4/mmm (123)
D(E_F) = 2.2 states/eV per cell
polymorph energy (0 for the lowest one) = 0.000 kcal/mol of atoms

The structure in POSCAR format:
```
Dy2BePd
1.0
3.486 0.000 0.000
0.000 3.486 0.000
0.000 0.000 6.823
Dy Be Pd
2 1 1
direct
0.000 0.000 0.244 Dy
0.000 0.000 0.756 Dy
0.500 0.500 0.000 Be
0.500 0.500 0.500 Pd
```



Computed, not measured: a geometry-optimized NpSnPdO6 structure at the PBE-GGA level of DFT.

Properties
energy relative to the elements, uncorrected = -1599 meV/atom
E = -7.3645 eV per atom
space-group type = P-31c (163)
D(E_F) = 9.1 states/eV per cell

The structure in POSCAR format:
```
NpSnPdO6
1.0
5.487 0.000 0.000
-2.743 4.752 0.000
0.000 0.000 9.311
Np Sn Pd O
2 2 2 12
direct
0.333 0.667 0.250 Np
0.667 0.333 0.750 Np
0.333 0.667 0.750 Sn
0.667 0.333 0.250 Sn
0.000 0.000 0.000 Pd
0.000 0.000 0.500 Pd
0.002 0.349 0.132 O
0.002 0.653 0.368 O
0.347 0.349 0.368 O
0.347 0.998 0.132 O
0.349 0.002 0.632 O
0.349 0.347 0.868 O
0.651 0.653 0.132 O
0.651 0.998 0.368 O
0.653 0.002 0.868 O
0.653 0.651 0.632 O
0.998 0.347 0.632 O
0.998 0.651 0.868 O
```



Computed, not measured: a geometry-optimized Ti3AuN structure at the PBE-GGA level of DFT.

Properties
energy relative to the elements, uncorrected = -944 meV/atom
E = -8.0016 eV per atom
space-group type = P-1 (2)
D(E_F) = 9.7 states/eV per cell

The structure in POSCAR format:
```
Ti3AuN
1.0
3.043 0.000 0.000
1.520 5.587 0.000
1.516 -0.350 8.427
Ti Au N
6 2 2
direct
0.098 0.022 0.283 Ti
0.150 0.223 0.978 Ti
0.399 0.480 0.224 Ti
0.601 0.520 0.776 Ti
0.850 0.777 0.022 Ti
0.902 0.978 0.717 Ti
0.341 0.280 0.536 Au
0.659 0.720 0.464 Au
0.380 0.876 0.864 N
0.620 0.124 0.136 N
```



Computed, not measured: a geometry-optimized PuTcPd structure at the PBE-GGA level of DFT.

Properties
E = -9.7967 eV per atom
space-group type = Amm2 (38)
D(E_F) = 12.1 states/eV per cell

The structure in POSCAR format:
```
PuTcPd
1.0
14.503 0.000 0.000
0.000 1.434 2.471
0.000 -1.434 2.471
Pu Tc Pd
2 2 2
direct
0.170 0.000 0.000 Pu
0.830 0.000 0.000 Pu
0.000 0.786 0.786 Tc
0.500 0.986 0.986 Tc
0.350 0.651 0.651 Pd
0.650 0.651 0.651 Pd
```



Computed, not measured: a geometry-optimized NiHN2 structure at the PBE-GGA level of DFT.

Properties
E = -4.7459 eV per atom
space-group type = R-3m (166)
D(E_F) = 1.9 states/eV per cell
polymorph energy (0 for the lowest one) = 25.267 kcal/mol of atoms

The structure in POSCAR format:
```
NiHN2
1.0
1.397 0.806 4.593
-1.397 0.806 4.593
0.000 -1.613 4.593
Ni H N
1 1 2
direct
0.000 0.000 0.000 Ni
0.500 0.500 0.500 H
0.130 0.130 0.130 N
0.870 0.870 0.870 N
```



Computed, not measured: a geometry-optimized K2IrPt structure at the PBE-GGA level of DFT.

Properties
E = -3.4451 eV per atom
space-group type = F-43m (216)
D(E_F) = 6.1 states/eV per cell
polymorph energy (0 for the lowest one) = 13.603 kcal/mol of atoms

The structure in POSCAR format:
```
K2IrPt
1.0
0.000 3.564 3.564
3.564 0.000 3.564
3.564 3.564 0.000
K Ir Pt
2 1 1
direct
0.000 0.000 0.000 K
0.250 0.250 0.250 K
0.500 0.500 0.500 Ir
0.750 0.750 0.750 Pt
```



Computed, not measured: a geometry-optimized Y2CoRh structure at the PBE-GGA level of DFT.

Properties
E = -7.2070 eV per atom
space-group type = R3m (160)
D(E_F) = 4.2 states/eV per cell

The structure in POSCAR format:
```
Y2CoRh
1.0
2.046 1.181 6.711
-2.046 1.181 6.711
0.000 -2.363 6.711
Y Co Rh
2 1 1
direct
0.000 0.000 0.000 Y
0.176 0.176 0.176 Y
0.420 0.420 0.420 Co
0.756 0.756 0.756 Rh
```